No. 1
ErHfAg6 PBE-GGA relaxed; energy of formation from the pure elements = -137 meV/atom
1.0
-3.597 2.868 1.730
-4.110 -4.190 -1.599
0.451 -2.178 4.548
Ag Er Hf
6 1 1
direct
0.000 0.238 0.336
0.500 0.756 0.660
0.500 0.244 0.660
0.000 0.000 0.835
0.000 0.762 0.336
0.500 0.500 0.179
0.000 0.500 0.842
0.500 0.000 0.153

No. 2
CuTc2 PBE-GGA relaxed; excess energy over the best structure of this formula in the dataset = 2834.3 meV/atom; energy of formation from the pure elements = 3468 meV/atom
1.0
-7.015 0.047 -3.213
-5.181 5.308 2.125
-1.969 5.640 -4.883
Tc Cu
4 2
direct
0.875 0.375 0.375
0.375 0.375 0.375
0.375 0.875 0.375
0.375 0.375 0.875
0.250 0.250 0.250
0.500 0.500 0.500

No. 3
BeGaCuPd PBE-GGA relaxed; excess energy over the best structure of this formula in the dataset = 110.0 meV/atom
1.0
2.312 -0.961 3.320
-1.611 -2.314 3.056
1.310 -3.906 0.561
Pd Ga Cu Be
1 1 1 1
direct
0.500 0.500 0.500
0.000 0.000 0.000
0.750 0.750 0.750
0.250 0.250 0.250

No. 4
The following is a PBE-GGA calculation of a relaxed KRb4InAu2 crystal, from OQMD.

Geometry as POSCAR:
```
KRb4InAu2
1.0
-4.557 -8.277 -0.645
9.151 -5.354 4.057
6.685 -4.312 8.098
Au Rb K In
2 4 1 1
direct
0.000 0.285 0.285
0.000 0.715 0.715
0.264 0.827 0.827
0.745 0.157 0.157
0.736 0.827 0.827
0.255 0.157 0.157
0.000 0.440 0.440
0.000 0.593 0.593
```

No. 5
The following is a PBE-GGA calculation of a relaxed TcSn2W crystal, from OQMD.

Geometry as POSCAR:
```
TcSn2W
1.0
0.000 3.346 3.346
3.346 0.000 3.346
3.346 3.346 0.000
Sn Tc W
2 1 1
direct
0.250 0.250 0.250
0.000 0.000 0.000
0.750 0.750 0.750
0.500 0.500 0.500
```

No. 6
The following is a PBE-GGA calculation of a relaxed ZnI2 crystal, from OQMD.

Geometry as POSCAR:
```
ZnI2
1.0
5.191 -4.805 -1.330
-2.298 -4.270 5.319
-4.471 2.160 -5.210
I Zn
4 2
direct
0.875 0.335 0.960
0.665 0.625 0.540
0.085 0.125 0.460
0.375 0.915 0.040
0.750 0.250 0.500
0.000 0.000 0.000
```

No. 7
The following is a PBE-GGA calculation of a relaxed HfGaFe2 crystal, from OQMD.

Geometry as POSCAR:
```
HfGaFe2
1.0
0.000 3.089 3.089
3.089 0.000 3.089
3.089 3.089 0.000
Hf Ga Fe
1 1 2
direct
0.250 0.250 0.250
0.500 0.500 0.500
0.750 0.750 0.750
0.000 0.000 0.000
```

No. 8
HfNbCoAs PBE-GGA relaxed; excess energy over the best structure of this formula in the dataset = 0.0 meV/atom
1.0
0.000 3.170 3.170
3.170 0.000 3.170
3.170 3.170 0.000
As Nb Hf Co
1 1 1 1
direct
0.000 0.000 0.000
0.250 0.250 0.250
0.500 0.500 0.500
0.750 0.750 0.750

No. 9
The following is a PBE-GGA calculation of a relaxed SrInTe3Au crystal, from OQMD.

Geometry as POSCAR:
```
SrInTe3Au
1.0
2.795 4.595 4.815
-2.856 -6.576 -0.846
10.900 -4.469 -2.062
Te In Sr Au
6 2 2 2
direct
0.853 0.147 0.460
0.432 0.568 0.750
0.853 0.147 0.040
0.147 0.853 0.960
0.147 0.853 0.540
0.568 0.432 0.250
0.500 0.500 0.500
0.500 0.500 0.000
0.747 0.253 0.750
0.253 0.747 0.250
0.932 0.068 0.250
0.068 0.932 0.750
```

No. 10
NaNbSeO PBE-GGA relaxed; excess energy over the best structure of this formula in the dataset = 8.4 meV/atom
1.0
3.236 0.000 0.000
-1.618 2.803 0.000
0.000 0.000 13.780
Na Nb O Se
2 2 2 2
direct
0.000 0.000 0.000
0.000 0.000 0.500
0.000 0.000 0.287
0.000 0.000 0.713
0.333 0.667 0.379
0.667 0.333 0.621
0.667 0.333 0.840
0.333 0.667 0.160

No. 11
FeReSiHg PBE-GGA relaxed; excess energy over the best structure of this formula in the dataset = 0.0 meV/atom
1.0
0.000 3.095 3.095
3.095 0.000 3.095
3.095 3.095 0.000
Fe Hg Si Re
1 1 1 1
direct
0.750 0.750 0.750
0.500 0.500 0.500
0.000 0.000 0.000
0.250 0.250 0.250

No. 12
The following is a PBE-GGA calculation of a relaxed Er3Mg3HgPt2 crystal, from OQMD.

Geometry as POSCAR:
```
Er3Mg3HgPt2
1.0
-3.366 4.503 4.855
-3.700 -5.738 -2.926
1.255 -2.378 3.076
Pt Er Mg Hg
2 3 3 1
direct
0.667 0.333 0.500
0.333 0.667 0.500
0.000 0.580 0.000
0.580 0.000 0.000
0.420 0.420 0.000
0.742 0.742 0.500
0.000 0.258 0.500
0.258 0.000 0.500
0.000 0.000 0.000
```

No. 13
ZnCdTeO PBE-GGA relaxed; excess energy over the best structure of this formula in the dataset = 155.9 meV/atom
1.0
-6.065 -3.247 0.719
1.139 -3.545 -6.400
5.921 -9.646 6.396
Te O Cd Zn
8 8 8 8
direct
0.204 0.998 0.869
0.296 0.002 0.369
0.296 0.498 0.869
0.704 0.998 0.631
0.796 0.002 0.131
0.796 0.498 0.631
0.704 0.502 0.131
0.204 0.502 0.369
0.251 0.249 0.112
0.251 0.251 0.612
0.249 0.751 0.612
0.249 0.749 0.112
0.749 0.751 0.888
0.751 0.249 0.388
0.751 0.251 0.888
0.749 0.749 0.388
0.503 0.223 0.001
0.997 0.777 0.501
0.497 0.777 0.999
0.003 0.223 0.499
0.503 0.277 0.501
0.997 0.723 0.001
0.497 0.723 0.499
0.003 0.277 0.999
0.798 0.001 0.828
0.298 0.499 0.172
0.702 0.999 0.328
0.298 0.001 0.672
0.202 0.501 0.672
0.702 0.501 0.828
0.798 0.499 0.328
0.202 0.999 0.172

No. 14
RbB4Mo PBE-GGA relaxed; excess energy over the best structure of this formula in the dataset = 795.2 meV/atom
1.0
-4.280 -0.235 2.634
-2.407 3.970 -1.940
1.741 -4.626 -0.939
Mo Rb B
1 1 4
direct
0.000 0.000 0.000
0.500 0.500 0.000
0.607 0.268 0.339
0.393 0.732 0.661
0.930 0.268 0.661
0.070 0.732 0.339

No. 15
The following is a PBE-GGA calculation of a relaxed PuGeSb crystal, from OQMD.

Geometry as POSCAR:
```
PuGeSb
1.0
-3.944 0.688 2.738
-2.492 4.147 -0.337
-4.398 0.027 -2.045
Pu Sb Ge
1 1 1
direct
0.250 0.250 0.250
0.750 0.750 0.750
0.000 0.000 0.000
```

No. 16
The following is a PBE-GGA calculation of a relaxed NdUSb crystal, from OQMD.

Geometry as POSCAR:
```
NdUSb
1.0
-2.548 -3.487 2.929
-5.214 -0.182 -0.104
-2.426 -4.030 -2.260
Sb Nd U
1 1 1
direct
0.250 0.250 0.250
0.750 0.750 0.750
0.000 0.000 0.000
```

No. 17
The following is a PBE-GGA calculation of a relaxed KHo4PbC2 crystal, from OQMD.

Geometry as POSCAR:
```
KHo4PbC2
1.0
3.623 0.000 0.000
-1.812 3.138 0.000
0.000 0.000 18.223
Pb Ho K C
1 4 1 2
direct
0.667 0.333 0.500
0.333 0.667 0.645
0.333 0.667 0.355
0.667 0.333 0.789
0.667 0.333 0.211
0.333 0.667 0.000
0.000 0.000 0.721
0.000 0.000 0.279
```

No. 18
The following is a PBE-GGA calculation of a relaxed LaGdSn2Pd4 crystal, from OQMD.

Geometry as POSCAR:
```
LaGdSn2Pd4
1.0
-4.566 -0.636 -0.505
2.956 -3.364 -1.205
-0.460 -3.448 8.501
Sn Gd Pd La
2 1 4 1
direct
0.667 0.333 0.738
0.667 0.333 0.262
0.000 0.000 0.500
0.333 0.667 0.662
0.000 0.000 0.174
0.333 0.667 0.338
0.000 0.000 0.826
0.333 0.667 0.000
```

No. 19
The following is a PBE-GGA calculation of a relaxed NaCuF3 crystal, from OQMD.

Geometry as POSCAR:
```
NaCuF3
1.0
-3.023 3.023 3.730
3.023 -3.023 3.730
3.023 3.023 -3.730
F Cu Na
6 2 2
direct
0.727 0.773 0.500
0.250 0.750 0.500
0.273 0.227 0.500
0.227 0.727 0.954
0.773 0.273 0.046
0.750 0.250 0.500
0.000 0.500 0.500
0.500 0.000 0.500
0.000 0.000 0.000
0.500 0.500 0.000
```

No. 20
PmTlFe PBE-GGA relaxed; excess energy over the best structure of this formula in the dataset = 515.8 meV/atom
1.0
0.000 3.446 3.446
3.446 0.000 3.446
3.446 3.446 0.000
Tl Pm Fe
1 1 1
direct
0.750 0.750 0.750
0.000 0.000 0.000
0.250 0.250 0.250

So what do the calculations give for E_tot? Going down the list: -4.070, -4.678, -4.092, -1.837, -7.191, -2.039, -7.513, -7.857, -3.469, -6.339, -6.001, -4.170, -3.197, -5.614, -7.784, -6.175, -5.485, -5.654, -4.039, -4.346 eV per atom.